# 1
An optimized crystal structure of Y2ThNi9. Source: OQMD via LeMat-Bulk, functional GGA-PBE.

a b c (Å): 8.6526 8.6526 8.6526
angles (deg): 33.43 33.43 33.43
Fractional positions:
1 Th 0.0000 0.0000 0.0000
2 Ni 0.4170 0.9177 0.4170
3 Ni 0.5830 0.0823 0.5830
4 Y 0.8599 0.8599 0.8599
5 Ni 0.5830 0.5830 0.0823
6 Ni 0.9177 0.4170 0.4170
7 Ni 0.6669 0.6669 0.6669
8 Y 0.1401 0.1401 0.1401
9 Ni 0.5000 0.5000 0.5000
10 Ni 0.4170 0.4170 0.9177
11 Ni 0.0823 0.5830 0.5830
12 Ni 0.3331 0.3331 0.3331

Values from the calculation:
ΔE_f: -0.43 eV per atom
Spin magnetization: 0.00 μB per atom

# 2
An optimized crystal structure of ZrAg. Source: OQMD via LeMat-Bulk, functional GGA-PBE.

a b c (Å): 5.1934 9.1349 5.0752
angles (deg): 90.00 90.00 89.99
Fractional positions:
1 Zr 0.3477 0.3376 0.5000
2 Zr 0.9764 0.3138 0.0000
3 Zr 0.0198 0.6450 0.0000
4 Ag 0.8474 0.4944 0.5000
5 Ag 0.3470 0.6722 0.5000
6 Zr 0.4769 0.8529 0.0000
7 Ag 0.8321 0.1577 0.5000
8 Ag 0.4768 0.1699 0.0000
9 Ag 0.3319 0.0088 0.5000
10 Ag 0.9770 0.9968 0.0000
11 Zr 0.8472 0.8289 0.5000
12 Zr 0.5197 0.5220 0.0000

Values from the calculation:
ΔE_f: 0.01 eV per atom
Spin magnetization: 0.04 μB per atom

# 3
An optimized crystal structure of Li2AgSb. Source: OQMD via LeMat-Bulk, functional GGA-PBE.

a b c (Å): 4.6689 4.6689 6.5925
angles (deg): 90.00 90.00 90.00
Fractional positions:
1 Li 0.5000 0.5000 0.0000
2 Ag 0.0000 0.0000 0.0000
3 Li 0.0000 0.5000 0.7568
4 Li 0.0000 0.0000 0.5000
5 Li 0.5000 0.0000 0.2432
6 Sb 0.0000 0.5000 0.2510
7 Ag 0.5000 0.5000 0.5000
8 Sb 0.5000 0.0000 0.7490

Values from the calculation:
Raw total energy: -12.605 eV per formula unit

# 4
An optimized crystal structure of ErTmGeCl2. Source: OQMD via LeMat-Bulk, functional GGA-PBE.

a b c (Å): 4.0301 4.0301 9.5306
angles (deg): 90.00 90.00 120.00
Fractional positions:
1 Ge 0.0000 0.0000 0.5008
2 Tm 0.3333 0.6667 0.6667
3 Cl 0.3333 0.6667 0.1700
4 Cl 0.6667 0.3333 0.8291
5 Er 0.6667 0.3333 0.3334

Values from the calculation:
Spin magnetization: 0.00 μB per atom
Raw total energy: -25.404 eV per formula unit

# 5
An optimized crystal structure of MgZrCoSn. Source: OQMD via LeMat-Bulk, functional GGA-PBE.

a b c (Å): 4.6971 4.6971 4.6971
angles (deg): 60.00 60.00 60.00
Fractional positions:
1 Co 0.7500 0.7500 0.7500
2 Mg 0.5000 0.5000 0.5000
3 Zr 0.2500 0.2500 0.2500
4 Sn 0.0000 0.0000 0.0000

Values from the calculation:
Spin magnetization: 0.30 μB per atom
Raw total energy: -20.959 eV per formula unit

# 6
An optimized crystal structure of HoZnPd. Source: OQMD via LeMat-Bulk, functional GGA-PBE.

a b c (Å): 4.7805 4.7805 5.8311
angles (deg): 90.00 90.00 120.00
Fractional positions:
1 Zn 0.3333 0.6667 0.2500
2 Ho 0.6667 0.3333 0.2500
3 Zn 0.6667 0.3333 0.7500
4 Pd 0.0000 0.0000 0.5000
5 Pd 0.0000 0.0000 0.0000
6 Ho 0.3333 0.6667 0.7500

Values from the calculation:
ΔE_f: -0.49 eV per atom
Spin magnetization: 0.00 μB per atom